# RbH4Cl3 | Alexandria via LeMat-Bulk | PBE | optimized geometry
data_RbH4Cl3
_cell_length_a 13.8056
_cell_length_b 4.9425
_cell_length_c 5.4157
_cell_angle_alpha 90.00
_cell_angle_beta 106.83
_cell_angle_gamma 90.00
_symmetry_space_group_name_H-M 'C 1 2/m 1'
_symmetry_Int_Tables_number 12
loop_
_symmetry_equiv_pos_as_xyz
'x,y,z'
'-x,-y,-z'
'-x,y,-z'
'x,-y,z'
'x+1/2,y+1/2,z'
'-x+1/2,-y+1/2,-z'
'-x+1/2,y+1/2,-z'
'x+1/2,-y+1/2,z'
loop_
_atom_site_label
_atom_site_type_symbol
_atom_site_fract_x
_atom_site_fract_y
_atom_site_fract_z
Rb1 Rb 0.0000 0.0000 0.0000
H1 H 0.1801 0.0000 0.5141
H2 H 0.2094 0.0000 0.4165
Cl1 Cl 0.0000 0.5000 0.5000
Cl2 Cl 0.1366 0.5000 0.8687
# uncorrected energy = -3.00 eV/atom
# spin magnetization = 0.000 μB/atom